# 1
A relaxed Tb2GdCd crystal. Source: the Open Quantum Materials Database, functional GGA-PBE.

- formation enthalpy at 0 K (eV/atom) = -0.11
- space-group type = No. 38
- magnetization (μB per formula unit) = 0.2

POSCAR file:
```
Tb2GdCd
1.0
5.481 0.000 0.000
0.000 3.472 6.015
0.000 -3.472 6.015
Cd Gd Tb
2 2 4
direct
0.000 0.667 0.667
0.500 0.333 0.333
0.500 0.344 0.828
0.500 0.828 0.344
0.000 0.172 0.172
0.000 0.172 0.656
0.500 0.828 0.828
0.000 0.656 0.172
```



# 2
A relaxed Hf2BAu crystal. Source: the Open Quantum Materials Database, functional GGA-PBE.

- uncorrected energy (hartree per atom) = -0.292
- space-group type = No. 194
- magnetization (μB per formula unit) = 0.0

POSCAR file:
```
Hf2BAu
1.0
-1.509 2.993 0.738
-1.837 -2.557 -1.368
-2.980 -4.621 12.643
Au Hf B
2 4 2
direct
0.333 0.667 0.750
0.667 0.333 0.250
0.333 0.667 0.406
0.667 0.333 0.906
0.333 0.667 0.094
0.667 0.333 0.594
0.000 0.000 0.500
0.000 0.000 0.000
```



# 3
A relaxed PrHBrCl crystal. Source: the Open Quantum Materials Database, functional GGA-PBE.

- uncorrected energy (hartree per atom) = -0.168
- space-group type = No. 164
- magnetization (μB per formula unit) = 0.0

POSCAR file:
```
PrHBrCl
1.0
-3.027 2.563 -0.510
0.290 -2.103 3.389
7.665 10.181 5.662
Pr Cl H Br
2 2 2 2
direct
0.000 0.000 0.755
0.000 0.000 0.245
0.333 0.667 0.882
0.667 0.333 0.118
0.667 0.333 0.753
0.333 0.667 0.247
0.667 0.333 0.386
0.333 0.667 0.614
```



# 4
A relaxed SnBW crystal. Source: the Open Quantum Materials Database, functional GGA-PBE.

- space-group type = No. 216
- energy relative to the lowest polymorph listed for this composition (eV/f.u.) = 1.67
- magnetization (μB per formula unit) = 0.8

POSCAR file:
```
SnBW
1.0
0.000 3.021 3.021
3.021 0.000 3.021
3.021 3.021 0.000
W Sn B
1 1 1
direct
0.000 0.000 0.000
0.750 0.750 0.750
0.250 0.250 0.250
```



# 5
A relaxed TbSnNO crystal. Source: the Open Quantum Materials Database, functional GGA-PBE.

- space-group type = No. 26
- energy relative to the lowest polymorph listed for this composition (eV/f.u.) = 0.82
- magnetization (μB per formula unit) = 0.0

POSCAR file:
```
TbSnNO
1.0
-2.078 2.455 -1.179
3.944 4.132 1.649
2.850 -0.390 -5.837
N Sn O Tb
2 2 2 2
direct
0.000 0.901 0.270
0.000 0.401 0.730
0.500 0.529 0.880
0.500 0.029 0.120
0.500 0.782 0.605
0.500 0.282 0.395
0.000 0.042 0.602
0.000 0.542 0.398
```



# 6
A relaxed La2PrMg3Pt3 crystal. Source: the Open Quantum Materials Database, functional GGA-PBE.

- uncorrected energy (hartree per atom) = -0.186
- space-group type = No. 38
- magnetization (μB per formula unit) = 0.0

POSCAR file:
```
La2PrMg3Pt3
1.0
-3.557 -0.688 2.071
3.988 -2.108 6.150
-1.998 7.291 -1.011
Pr Pt La Mg
1 3 2 3
direct
0.000 0.588 0.588
0.500 0.330 0.666
0.500 0.666 0.330
0.000 0.999 0.999
0.000 0.000 0.416
0.000 0.416 0.000
0.500 0.240 0.240
0.500 0.999 0.763
0.500 0.763 0.999
```



# 7
A relaxed NdGd2Tl3Ni3 crystal. Source: the Open Quantum Materials Database, functional GGA-PBE.

- uncorrected energy (hartree per atom) = -0.167
- space-group type = No. 38
- magnetization (μB per formula unit) = 0.0

POSCAR file:
```
NdGd2Tl3Ni3
1.0
-2.076 3.160 -0.602
-6.322 -3.785 1.936
4.023 3.659 5.335
Tl Nd Ni Gd
3 1 3 2
direct
0.500 0.258 0.997
0.500 0.744 0.744
0.500 0.997 0.258
0.000 0.409 0.409
0.500 0.669 0.332
0.000 0.999 0.999
0.500 0.332 0.669
0.000 0.000 0.591
0.000 0.591 0.000
```



# 8
A relaxed SrTe2Au2 crystal. Source: the Open Quantum Materials Database, functional GGA-PBE.

- uncorrected energy (hartree per atom) = -0.126
- space-group type = No. 139

POSCAR file:
```
SrTe2Au2
1.0
-3.509 1.781 1.716
-2.384 -3.232 -1.519
4.078 -3.028 6.110
Au Te Sr
2 2 1
direct
0.750 0.250 0.500
0.250 0.750 0.500
0.616 0.616 0.231
0.384 0.384 0.769
0.000 0.000 0.000
```



Copy entry 8 word for word.
A relaxed SrTe2Au2 crystal. Source: the Open Quantum Materials Database, functional GGA-PBE.

- uncorrected energy (hartree per atom) = -0.126
- space-group type = No. 139

POSCAR file:
```
SrTe2Au2
1.0
-3.509 1.781 1.716
-2.384 -3.232 -1.519
4.078 -3.028 6.110
Au Te Sr
2 2 1
direct
0.750 0.250 0.500
0.250 0.750 0.500
0.616 0.616 0.231
0.384 0.384 0.769
0.000 0.000 0.000
```